Record 1
A relaxed BaZrTa crystal, computed with PBE.

As for the crystal system: tetragonal. The formation energy from the elements is 2.068 eV/f.u. For the magnetic moment, the calculation gives 0.000 μB/atom. The energy above the lowest structure with this stoichiometry is 12 meV per atom.

```
3
Lattice="-7.851 -2.003 -3.274 -7.190 -4.968 -0.041 6.563 4.859 3.113" Properties=species:S:1:pos:R:3 pbc="T T T"
Ba -14.918 -6.913 -3.287
Ta -4.733 -2.193 -1.043
Zr -10.432 -4.834 -2.299
```


Record 2
A relaxed PmFeRh4 crystal, computed with PBE.

As for the crystal system: cubic. The formation energy from the elements is -0.950 eV/f.u. For the magnetic moment, the calculation gives 0.690 μB/atom.

```
6
Lattice="5.245 0.000 0.000 2.622 4.542 0.000 2.622 1.514 4.282" Properties=species:S:1:pos:R:3 pbc="T T T"
Rh 3.928 3.788 2.679
Rh 5.245 1.507 2.679
Rh 6.562 3.788 2.679
Rh 5.245 3.028 0.528
Fe 0.000 0.000 0.000
Pm 2.622 1.514 1.071
```


Record 3
A relaxed Pm4Cd2Ru crystal, computed with PBE.

As for the crystal system: monoclinic. The formation energy from the elements is -1.100 eV/f.u. For the magnetic moment, the calculation gives 0.000 μB/atom. The energy above the lowest structure with this stoichiometry is 0 meV per atom.

```
14
Lattice="-5.956 0.258 -0.050 -0.268 -6.462 -1.514 3.992 -2.468 9.824" Properties=species:S:1:pos:R:3 pbc="T T T"
Pm 0.212 -1.714 7.225
Pm -2.310 -3.749 1.787
Pm 3.083 -7.071 7.776
Pm -5.315 -1.600 0.484
Pm -2.443 -6.957 1.036
Pm -2.785 -2.826 5.267
Pm 0.079 -4.922 6.473
Pm 0.553 -5.845 2.993
Cd 1.675 -3.930 9.189
Cd 0.214 -2.613 3.828
Cd -2.445 -6.058 4.432
Cd -3.907 -4.741 -0.929
Ru -1.923 -3.429 7.688
Ru -0.308 -5.242 0.572
```


Record 4
A relaxed PmNd4Sm2Er crystal, computed with PBE.

As for the crystal system: monoclinic. The formation energy from the elements is 0.104 eV/f.u. For the magnetic moment, the calculation gives 0.000 μB/atom.

```
8
Lattice="-3.922 -0.918 3.234 3.095 -2.886 2.934 5.667 5.414 8.409" Properties=species:S:1:pos:R:3 pbc="T T T"
Nd 3.058 2.862 8.647
Nd 1.781 -1.253 5.930
Nd -1.726 -0.264 6.083
Nd 6.566 1.873 8.494
Sm 5.667 5.414 8.409
Sm 0.873 2.248 5.822
Pm -0.414 -1.902 3.084
Er 4.381 1.264 5.672
```


Question: Which formula does entry 4 have?
Answer: PmNd4Sm2Er


Copy entry 2 word for word.
A relaxed PmFeRh4 crystal, computed with PBE.

As for the crystal system: cubic. The formation energy from the elements is -0.950 eV/f.u. For the magnetic moment, the calculation gives 0.690 μB/atom.

```
6
Lattice="5.245 0.000 0.000 2.622 4.542 0.000 2.622 1.514 4.282" Properties=species:S:1:pos:R:3 pbc="T T T"
Rh 3.928 3.788 2.679
Rh 5.245 1.507 2.679
Rh 6.562 3.788 2.679
Rh 5.245 3.028 0.528
Fe 0.000 0.000 0.000
Pm 2.622 1.514 1.071
```


Question: Among the records above, which one has the highest magnetic moment?
Answer: PmFeRh4